VASP calculation (GGA+U) on Mn2FeSiO4 after structural relaxation.

## Properties
total DFT energy (no corrections) = -7.251 eV/atom
SG = Fmm2 (42)
density of states at the Fermi level = 0.191 states/eV/atom

Cell: 5.8489 5.8443 4.6637 Å, 66.55 66.44 47.01°
With the nearest neighbours (Å) after each atom.
Element x y z (fractional)
Mn1 0.0000 0.0000 0.5000  4 O 2.20-2.23
Mn2 0.5000 0.5000 0.0000  4 O 2.20-2.23
Fe1 0.2128 0.2128 0.7872  2 O 2.05
Si1 0.7559 0.7559 0.2441  4 O 1.67
O1 0.0619 0.6402 0.9381  1 Si 1.67
O2 0.4502 0.8545 0.1455  1 Si 1.67
O3 0.6402 0.0619 0.3598  1 Si 1.67
O4 0.8545 0.4502 0.5498  1 Si 1.67